Record 1
A plane-wave DFT calculation with PBE was carried out for crystalline SmPaSb2 at its relaxed geometry.

Energy relative to the lowest polymorph listed for this composition, kJ/mol of formula units: 0
SG: C2/c

a b c (Å): 7.6700 7.6403 9.8675
angles (deg): 104.94 105.06 109.45
Each line ends with the local moment (μB).
Sites, in units of the cell vectors:
Sm1 0.9390 0.6890 0.3781  0.01
Sm2 0.1860 0.9360 0.8720  0.01
Sm3 0.0610 0.3110 0.6219  0.01
Sm4 0.8140 0.0640 0.1280  0.01
Sb1 0.0645 0.8101 0.1249  -0.01
Sb2 0.8044 0.5590 0.6251  -0.01
Sb3 0.1956 0.4410 0.3749  -0.01
Sb4 0.3207 0.0661 0.6251  -0.01
Sb5 0.4396 0.6851 0.8751  -0.01
Sb6 0.6793 0.9339 0.3749  -0.01
Sb7 0.9355 0.1900 0.8751  -0.01
Sb8 0.5604 0.3149 0.1249  -0.01
Pa1 0.4359 0.1859 0.3719  0.74
Pa2 0.3110 0.5610 0.1220  0.71
Pa3 0.5641 0.8141 0.6281  0.74
Pa4 0.6890 0.4390 0.8780  0.71

Record 2
A plane-wave DFT calculation with PBE was carried out for crystalline Sm2PaSb3 at its relaxed geometry.

SG: Immm

a b c (Å): 4.4292 6.2627 7.6871
angles (deg): 114.04 106.74 90.00
Each line ends with the local moment (μB).
Sites, in units of the cell vectors:
Sb1 0.1621 0.1622 0.3243  -0.01
Sb2 0.8379 0.8378 0.6757  -0.01
Sb3 0.5000 0.5000 0.0000  -0.01
Pa1 0.5000 0.0000 0.0000  0.66
Sm1 0.8317 0.3318 0.6637  0.01
Sm2 0.1683 0.6682 0.3363  0.01

Record 3
A plane-wave DFT calculation with PBE was carried out for crystalline Sm5Pa3Sb8 at its relaxed geometry.

SG: R-3m

a b c (Å): 8.8489 8.8489 8.8767
angles (deg): 60.10 60.10 60.00
Each line ends with the local moment (μB).
Sites, in units of the cell vectors:
Pa1 0.5000 0.0000 0.5000  0.77
Pa2 0.0000 0.0000 0.5000  0.77
Pa3 0.0000 0.5000 0.5000  0.77
Sm1 0.0000 0.0000 0.0000  0.01
Sm2 0.5000 0.5000 0.0000  0.02
Sm3 0.5000 0.0000 0.0000  0.02
Sm4 0.0000 0.5000 0.0000  0.02
Sm5 0.5000 0.5000 0.5000  0.01
Sb1 0.2500 0.2500 0.7453  -0.01
Sb2 0.7500 0.2453 0.2547  -0.01
Sb3 0.2500 0.7547 0.7453  -0.01
Sb4 0.7547 0.2500 0.7453  -0.01
Sb5 0.7516 0.7516 0.7451  -0.02
Sb6 0.2453 0.7500 0.2547  -0.01
Sb7 0.7500 0.7500 0.2547  -0.01
Sb8 0.2484 0.2484 0.2549  -0.02

Record 4
A plane-wave DFT calculation with PBE was carried out for crystalline SmPa3Sb4 at its relaxed geometry.

SG: Cmmm

a b c (Å): 4.3785 7.6109 7.6109
angles (deg): 70.67 90.00 90.00
Each line ends with the local moment (μB).
Sites, in units of the cell vectors:
Sb1 0.4999 0.7510 0.2509  -0.02
Sb2 0.0000 0.7530 0.7470  -0.01
Sb3 0.4999 0.2492 0.7490  -0.02
Sb4 0.0000 0.2472 0.2529  -0.01
Pa1 0.9999 0.5001 0.5000  0.63
Pa2 0.9999 0.0001 0.0000  0.63
Pa3 0.5000 0.0001 0.5000  0.50
Sm1 0.5000 0.5001 0.0000  -0.02

Record 5
A plane-wave DFT calculation with PBE was carried out for crystalline Sr3Sm2PaSb6 at its relaxed geometry.

SG: C2/m

a b c (Å): 7.9183 7.9183 8.0544
angles (deg): 99.44 99.44 120.06
Sites, in units of the cell vectors:
Sb1 0.2477 0.2477 0.7737
Sb2 0.7523 0.7523 0.2263
Sb3 0.9255 0.6014 0.7754
Sb4 0.0745 0.3986 0.2246
Sb5 0.3986 0.0745 0.2246
Sb6 0.6014 0.9255 0.7754
Sm1 0.3339 0.6661 0.0000
Sm2 0.6661 0.3339 0.0000
Pa1 0.0000 0.0000 0.0000
Sr1 0.8296 0.1704 0.5000
Sr2 0.5000 0.5000 0.5000
Sr3 0.1704 0.8296 0.5000

Record 6
A plane-wave DFT calculation with PBE was carried out for crystalline TbSm2PaSb4 at its relaxed geometry.

SG: P2/m

a b c (Å): 4.4239 7.6553 7.6731
angles (deg): 109.36 90.00 90.00
Each line ends with the local moment (μB).
Sites, in units of the cell vectors:
Sm1 0.5000 0.0000 0.5000  0.02
Sm2 0.0000 0.5000 0.5000  0.01
Tb1 0.0000 0.0000 0.0000  0.00
Pa1 0.5000 0.5000 0.0000  0.70
Sb1 0.0000 0.7473 0.2442  -0.01
Sb2 0.5000 0.2500 0.2438  -0.01
Sb3 0.5000 0.7500 0.7562  -0.01
Sb4 0.0000 0.2527 0.7558  -0.01

Record 7
A plane-wave DFT calculation with PBE was carried out for crystalline Tb2SmPaSb4 at its relaxed geometry.

SG: P2/m

a b c (Å): 4.4048 7.6436 7.6274
angles (deg): 109.34 90.00 90.00
Each line ends with the local moment (μB).
Sites, in units of the cell vectors:
Sb1 0.5000 0.2546 0.2516  -0.01
Sb2 0.0000 0.2524 0.7493  -0.01
Sb3 0.5000 0.7454 0.7484  -0.01
Sb4 0.0000 0.7476 0.2507  -0.01
Tb1 0.0000 0.5000 0.5000  0.00
Tb2 0.5000 0.0000 0.5000  0.02
Pa1 0.5000 0.5000 0.0000  0.76
Sm1 0.0000 0.0000 0.0000  0.01

Record 8
A plane-wave DFT calculation with PBE was carried out for crystalline SmPaSbTe at its relaxed geometry.

SG: F-43m

a b c (Å): 5.3508 5.3508 5.3508
angles (deg): 60.00 60.00 60.00
Each line ends with the local moment (μB).
Sites, in units of the cell vectors:
Te1 0.2500 0.2500 0.2500  -0.04
Pa1 0.0000 0.0000 0.0000  0.96
Sm1 0.5000 0.5000 0.5000  0.21
Sb1 0.7500 0.7500 0.7500  -0.04

Number 1: formation energy from raw total energies -799 meV per atom. Number 2: formation energy from raw total energies -931 meV per atom. Number 3: formation energy from raw total energies -896 meV per atom. Number 4: formation energy from raw total energies -609 meV per atom. Number 5: formation energy from raw total energies -952 meV per atom. Number 6: formation energy from raw total energies -989 meV per atom. Number 7: formation energy from raw total energies -979 meV per atom. Number 8: formation energy from raw total energies -783 meV per atom.